Record 1
The following is a DFT calculation (PBE-GGA) of a relaxed structure of CsHgF3.

Unit cell a=4.058 b=6.174 c=7.977 alpha=90.00 beta=90.00 gamma=90.00
Space group Pmmn (No. 59, origin choice 2)
Inequivalent atoms, fractional coordinates:
Cs  0.250  0.250  0.138 x2
Hg  0.250  0.750  0.410 x2
F  0.250  0.508  0.632 x4
F  0.250  0.750  0.135 x2

## Properties
calculated volume = 20.0 Å³/atom
uncorrected formation energy = -1.966 eV/atom



Record 2
The following is a DFT calculation (PBE-GGA) of a relaxed structure of Cs7Hg4F.

Unit cell a=24.928 b=5.810 c=9.637 alpha=90.00 beta=106.36 gamma=90.00
Space group C2/m (No. 12)
Inequivalent atoms, fractional coordinates:
Cs  0.000  0.000  0.000 x2
Cs  0.069  0.500  0.352 x4
Cs  0.114  0.500  0.923 x4
Cs  0.218  0.000  0.672 x4
Hg  0.050  0.000  0.630 x4
Hg  0.165  0.000  0.231 x4
F  0.000  0.500  0.000 x2

## Properties
calculated volume = 55.8 Å³/atom
uncorrected formation energy = -0.578 eV/atom



Record 3
The following is a DFT calculation (PBE-GGA) of a relaxed structure of CsHgF3.

Unit cell a=6.606 b=6.604 c=4.670 alpha=90.00 beta=90.02 gamma=90.00
Space group Cm (No. 8)
Inequivalent atoms, fractional coordinates:
Cs  0.000  0.000  0.000 x2
Hg  0.000  0.500  0.500 x2
F  0.001  0.500  0.000 x2
F  0.250  0.250  0.501 x4

## Properties
calculated volume = 20.4 Å³/atom
uncorrected formation energy = -2.007 eV/atom



Record 4
The following is a DFT calculation (PBE-GGA) of a relaxed structure of Cs2HgF.

Unit cell a=17.471 b=4.550 c=11.439 alpha=90.00 beta=130.03 gamma=90.00
Space group Cm (No. 8)
Inequivalent atoms, fractional coordinates:
Cs  0.000  0.000  0.000 x2
Cs  0.040  0.500  0.391 x2
Cs  0.238  0.500  0.046 x2
Cs  0.284  0.000  0.428 x2
Hg  0.042  0.000  0.683 x2
Hg  0.243  0.000  0.754 x2
F  0.124  0.500  0.218 x2
F  0.333  0.000  0.236 x2

## Properties
calculated volume = 43.5 Å³/atom
uncorrected formation energy = -1.374 eV/atom



Record 5
The following is a DFT calculation (PBE-GGA) of a relaxed structure of Cs3Hg2F9.

Unit cell a=6.5053 b=6.5053 c=8.2518 alpha=90.00 beta=90.00 gamma=120.00
Space group P-3m1 (No. 164)
Inequivalent atoms, fractional coordinates:
Cs  0.0000  0.0000  0.0000 x1
Cs  0.3333  0.6667  0.3684 x2
Hg  0.3333  0.6667  0.8467 x2
F  0.0000  0.5000  0.0000 x3
F  0.1752  0.3505  0.6989 x6

## Properties
calculated volume = 21.6 Å³/atom
uncorrected formation energy = -1.884 eV/atom



Record 6
The following is a DFT calculation (PBE-GGA) of a relaxed structure of Cs3Hg2F8.

Unit cell a=6.8231 b=6.8231 c=24.0697 alpha=90.00 beta=90.00 gamma=120.00
Space group R-3m (No. 166, hexagonal axes)
Inequivalent atoms, fractional coordinates:
Cs  0.0000  0.0000  0.0000 x3
Cs  0.0000  0.0000  0.2007 x6
Hg  0.0000  0.0000  0.4084 x6
F  0.0000  0.0000  0.3182 x6
F  0.0164  0.5082  0.7701 x18

## Properties
calculated volume = 24.9 Å³/atom
uncorrected formation energy = -1.901 eV/atom



Record 7
The following is a DFT calculation (PBE-GGA) of a relaxed structure of Cs4HgF7.

Unit cell a=15.875 b=4.695 c=11.711 alpha=90.00 beta=129.00 gamma=90.00
Space group C2/m (No. 12)
Inequivalent atoms, fractional coordinates:
Cs  0.105  0.000  0.362 x4
Cs  0.223  0.500  0.820 x4
Hg  0.000  0.500  0.000 x2
F  0.000  0.000  0.000 x2
F  0.130  0.000  0.861 x4
F  0.147  0.500  0.206 x4
F  0.163  0.500  0.538 x4

## Properties
calculated volume = 28.3 Å³/atom
uncorrected formation energy = -2.149 eV/atom



Record 8
The following is a DFT calculation (PBE-GGA) of a relaxed structure of Cs2HgF.

Unit cell a=7.898 b=4.411 c=9.247 alpha=90.00 beta=90.73 gamma=90.00
Space group C2/m (No. 12)
Inequivalent atoms, fractional coordinates:
Cs  0.168  0.000  0.186 x4
Hg  0.000  0.500  0.500 x2
F  0.000  0.500  0.000 x2

## Properties
calculated volume = 40.3 Å³/atom
uncorrected formation energy = -1.330 eV/atom



Record 9
The following is a DFT calculation (PBE-GGA) of a relaxed structure of CsHgF2.

Unit cell a=15.248 b=5.169 c=5.648 alpha=90.00 beta=111.60 gamma=90.00
Space group C2/c (No. 15)
Inequivalent atoms, fractional coordinates:
Cs  0.250  0.250  0.000 x4
Hg  0.000  0.000  0.000 x4
F  0.130  0.220  0.382 x8

## Properties
calculated volume = 25.9 Å³/atom
uncorrected formation energy = -1.723 eV/atom



Record 10
The following is a DFT calculation (PBE-GGA) of a relaxed structure of Cs2HgF.

Unit cell a=5.437 b=8.057 c=8.842 alpha=99.91 beta=90.27 gamma=109.50
Space group P-1 (No. 2)
Inequivalent atoms, fractional coordinates:
Cs  0.048  0.095  0.243 x2
Cs  0.321  0.641  0.136 x2
Hg  0.268  0.535  0.573 x2
F  0.130  0.259  0.974 x2

## Properties
calculated volume = 44.9 Å³/atom
uncorrected formation energy = -1.380 eV/atom



Record 11
The following is a DFT calculation (PBE-GGA) of a relaxed structure of Cs2HgF.

Unit cell a=3.974 b=3.974 c=9.231 alpha=90.00 beta=90.00 gamma=90.00
Space group P4/mmm (No. 123)
Inequivalent atoms, fractional coordinates:
Cs  0.000  0.000  0.198 x2
Hg  0.500  0.500  0.500 x1
F  0.500  0.500  0.000 x1

## Properties
calculated volume = 36.4 Å³/atom
uncorrected formation energy = -1.271 eV/atom



Record 12
The following is a DFT calculation (PBE-GGA) of a relaxed structure of CsHgF3.

Unit cell a=5.134 b=5.134 c=5.134 alpha=90.00 beta=90.00 gamma=90.00
Space group Pm-3m (No. 221)
Inequivalent atoms, fractional coordinates:
Cs  0.000  0.000  0.000 x1
Hg  0.500  0.500  0.500 x1
F  0.000  0.000  0.500 x3

## Properties
calculated volume = 27.1 Å³/atom
uncorrected formation energy = -1.019 eV/atom